NbBS3 | GGA-PBE | optimized geometry

CIF file:
```
data_NbBS3
_chemical_formula_sum 'Nb1 B1 S3'
_cell_length_a 4.135
_cell_length_b 4.135
_cell_length_c 4.135
_cell_angle_alpha 90.00
_cell_angle_beta 90.00
_cell_angle_gamma 90.00
_space_group_name_H-M_alt 'P m -3 m'
_space_group_IT_number 221
_space_group_name_Hall '-P 4 2 3'
loop_
_atom_site_label
_atom_site_type_symbol
_atom_site_fract_x
_atom_site_fract_y
_atom_site_fract_z
_atom_site_occupancy
Nb1 Nb 0.000 0.000 0.000 1
B1 B 0.500 0.500 0.500 1
S1 S 0.000 0.500 0.500 1
```

Values from the calculation:
- Relative energy among the computed polymorphs: 94.7 kJ per mole of atoms
- Energy relative to the elements, uncorrected: 0.460 eV/atom
- Raw total energy: -5.365 eV/atom

=====

NbBS3 | GGA-PBE | optimized geometry

CIF file:
```
data_NbBS3
_chemical_formula_sum 'Nb1 B1 S3'
_cell_length_a 4.807
_cell_length_b 4.807
_cell_length_c 4.807
_cell_angle_alpha 90.00
_cell_angle_beta 90.00
_cell_angle_gamma 90.00
_space_group_name_H-M_alt 'P m -3 m'
_space_group_IT_number 221
_space_group_name_Hall '-P 4 2 3'
loop_
_atom_site_label
_atom_site_type_symbol
_atom_site_fract_x
_atom_site_fract_y
_atom_site_fract_z
_atom_site_occupancy
Nb1 Nb 0.000 0.000 0.000 1
B1 B 0.500 0.500 0.500 1
S1 S 0.000 0.000 0.500 1
```

Values from the calculation:
- Relative energy among the computed polymorphs: 110.3 kJ per mole of atoms
- Energy relative to the elements, uncorrected: 0.622 eV/atom
- Raw total energy: -5.204 eV/atom

=====

Nb8BS2 | GGA-PBE | optimized geometry

CIF file:
```
data_Nb8BS2
_chemical_formula_sum 'Nb16 B2 S4'
_cell_length_a 12.996
_cell_length_b 6.380
_cell_length_c 4.890
_cell_angle_alpha 90.00
_cell_angle_beta 99.01
_cell_angle_gamma 90.00
_space_group_name_H-M_alt 'C 1 2/m 1'
_space_group_IT_number 12
loop_
_space_group_symop_operation_xyz
'x,y,z'
'-x,-y,-z'
'-x,y,-z'
'x,-y,z'
'x+1/2,y+1/2,z'
'-x+1/2,-y+1/2,-z'
'-x+1/2,y+1/2,-z'
'x+1/2,-y+1/2,z'
loop_
_atom_site_label
_atom_site_type_symbol
_atom_site_fract_x
_atom_site_fract_y
_atom_site_fract_z
_atom_site_occupancy
Nb1 Nb 0.077 0.246 0.289 1
Nb2 Nb 0.104 0.000 0.755 1
Nb3 Nb 0.230 0.500 0.608 1
B1 B 0.000 0.500 0.500 1
S1 S 0.198 0.500 0.087 1
```

Values from the calculation:
- Energy relative to the elements, uncorrected: 0.009 eV/atom
- Raw total energy: -8.672 eV/atom

=====

NbBS2 | GGA-PBE | optimized geometry

CIF file:
```
data_NbBS2
_chemical_formula_sum 'Nb3 B3 S6'
_cell_length_a 3.2404
_cell_length_b 3.2404
_cell_length_c 20.5970
_cell_angle_alpha 90.00
_cell_angle_beta 90.00
_cell_angle_gamma 120.00
_space_group_name_H-M_alt 'R -3 m'
_space_group_IT_number 166
_space_group_name_Hall '-R 3 2"'
loop_
_atom_site_label
_atom_site_type_symbol
_atom_site_fract_x
_atom_site_fract_y
_atom_site_fract_z
_atom_site_occupancy
Nb1 Nb 0.0000 0.0000 0.0000 1
B1 B 0.0000 0.0000 0.5000 1
S1 S 0.0000 0.0000 0.4154 1
```

Values from the calculation:
- Energy relative to the elements, uncorrected: -0.107 eV/atom
- Raw total energy: -6.357 eV/atom

=====

Nb3BS6 | GGA-PBE | optimized geometry

CIF file:
```
data_Nb3BS6
_chemical_formula_sum 'Nb12 B4 S24'
_cell_length_a 9.858
_cell_length_b 11.930
_cell_length_c 5.713
_cell_angle_alpha 90.00
_cell_angle_beta 90.00
_cell_angle_gamma 90.00
_space_group_name_H-M_alt 'C m c 21'
_space_group_IT_number 36
loop_
_space_group_symop_operation_xyz
'x,y,z'
'-x,-y,z+1/2'
'-x,y,z'
'x,-y,z+1/2'
'x+1/2,y+1/2,z'
'-x+1/2,-y+1/2,z+1/2'
'-x+1/2,y+1/2,z'
'x+1/2,-y+1/2,z+1/2'
loop_
_atom_site_label
_atom_site_type_symbol
_atom_site_fract_x
_atom_site_fract_y
_atom_site_fract_z
_atom_site_occupancy
Nb1 Nb 0.000 0.084 0.000 1
Nb2 Nb 0.159 0.406 0.119 1
B1 B 0.000 0.285 0.651 1
S1 S 0.000 0.277 0.323 1
S2 S 0.000 0.442 0.757 1
S3 S 0.156 0.228 0.816 1
S4 S 0.170 0.040 0.308 1
```

Values from the calculation:
- Energy relative to the elements, uncorrected: -0.664 eV/atom
- Raw total energy: -6.829 eV/atom

=====

SrNbB2S | GGA-PBE | optimized geometry

CIF file:
```
data_SrNbB2S
_chemical_formula_sum 'Sr1 Nb1 B2 S1'
_cell_length_a 4.539
_cell_length_b 4.539
_cell_length_c 5.392
_cell_angle_alpha 90.00
_cell_angle_beta 90.00
_cell_angle_gamma 90.00
_space_group_name_H-M_alt 'P 4/m m m'
_space_group_IT_number 123
_space_group_name_Hall '-P 4 2'
loop_
_atom_site_label
_atom_site_type_symbol
_atom_site_fract_x
_atom_site_fract_y
_atom_site_fract_z
_atom_site_occupancy
Sr1 Sr 0.000 0.000 0.000 1
Nb1 Nb 0.000 0.000 0.500 1
B1 B 0.000 0.500 0.000 1
S1 S 0.500 0.500 0.500 1
```

Values from the calculation:
- Energy relative to the elements, uncorrected: 2.879 eV/atom
- Raw total energy: -2.968 eV/atom

=====

NbBTeS2 | GGA-PBE | optimized geometry

CIF file:
```
data_NbBTeS2
_chemical_formula_sum 'Nb1 B1 Te1 S2'
_cell_length_a 4.805
_cell_length_b 4.805
_cell_length_c 4.551
_cell_angle_alpha 90.00
_cell_angle_beta 90.00
_cell_angle_gamma 90.00
_space_group_name_H-M_alt 'P 4/m m m'
_space_group_IT_number 123
_space_group_name_Hall '-P 4 2'
loop_
_atom_site_label
_atom_site_type_symbol
_atom_site_fract_x
_atom_site_fract_y
_atom_site_fract_z
_atom_site_occupancy
Nb1 Nb 0.000 0.000 0.000 1
B1 B 0.000 0.000 0.500 1
Te1 Te 0.500 0.500 0.500 1
S1 S 0.000 0.500 0.000 1
```

Values from the calculation:
- Energy relative to the elements, uncorrected: 0.603 eV/atom
- Raw total energy: -5.025 eV/atom

=====

Nb2BSb | GGA-PBE | optimized geometry

CIF file:
```
data_Nb2BSb
_chemical_formula_sum 'Nb8 B4 Sb4'
_cell_length_a 5.541
_cell_length_b 5.541
_cell_length_c 11.324
_cell_angle_alpha 90.00
_cell_angle_beta 90.00
_cell_angle_gamma 90.00
_space_group_name_H-M_alt 'I -4 2 d'
_space_group_IT_number 122
_space_group_name_Hall 'I -4 2bw'
loop_
_atom_site_label
_atom_site_type_symbol
_atom_site_fract_x
_atom_site_fract_y
_atom_site_fract_z
_atom_site_occupancy
Nb1 Nb 0.148 0.250 0.125 1
B1 B 0.000 0.000 0.000 1
Sb1 Sb 0.000 0.000 0.500 1
```

Values from the calculation:
- Relative energy among the computed polymorphs: 7.3 kJ per mole of atoms
- Energy relative to the elements, uncorrected: 0.542 eV/atom
- Raw total energy: -7.193 eV/atom

=====

Nb3BSb | GGA-PBE | optimized geometry

CIF file:
```
data_Nb3BSb
_chemical_formula_sum 'Nb3 B1 Sb1'
_cell_length_a 5.019
_cell_length_b 5.019
_cell_length_c 5.019
_cell_angle_alpha 90.00
_cell_angle_beta 90.00
_cell_angle_gamma 90.00
_space_group_name_H-M_alt 'P m -3 m'
_space_group_IT_number 221
_space_group_name_Hall '-P 4 2 3'
loop_
_atom_site_label
_atom_site_type_symbol
_atom_site_fract_x
_atom_site_fract_y
_atom_site_fract_z
_atom_site_occupancy
Nb1 Nb 0.000 0.000 0.500 1
B1 B 0.500 0.500 0.500 1
Sb1 Sb 0.000 0.000 0.000 1
```

Values from the calculation:
- Relative energy among the computed polymorphs: 236.6 kJ per mole of atoms
- Energy relative to the elements, uncorrected: 2.399 eV/atom
- Raw total energy: -5.803 eV/atom

=====

Nb5B2Sb2 | GGA-PBE | optimized geometry

CIF file:
```
data_Nb5B2Sb2
_chemical_formula_sum 'Nb20 B8 Sb8'
_cell_length_a 14.298
_cell_length_b 6.442
_cell_length_c 6.451
_cell_angle_alpha 90.00
_cell_angle_beta 90.00
_cell_angle_gamma 90.00
_space_group_name_H-M_alt 'C m c e'
_space_group_IT_number 64
_space_group_name_Hall '-C 2ac 2'
loop_
_atom_site_label
_atom_site_type_symbol
_atom_site_fract_x
_atom_site_fract_y
_atom_site_fract_z
_atom_site_occupancy
Nb1 Nb 0.000 0.000 0.000 1
Nb2 Nb 0.108 0.172 0.323 1
B1 B 0.000 0.107 0.605 1
Sb1 Sb 0.219 0.000 0.000 1
```

Values from the calculation:
- Energy relative to the elements, uncorrected: -0.394 eV/atom
- Raw total energy: -8.388 eV/atom

=====

Nb3BSb | GGA-PBE | optimized geometry

CIF file:
```
data_Nb3BSb
_chemical_formula_sum 'Nb3 B1 Sb1'
_cell_length_a 4.417
_cell_length_b 4.417
_cell_length_c 4.417
_cell_angle_alpha 90.00
_cell_angle_beta 90.00
_cell_angle_gamma 90.00
_space_group_name_H-M_alt 'P m -3 m'
_space_group_IT_number 221
_space_group_name_Hall '-P 4 2 3'
loop_
_atom_site_label
_atom_site_type_symbol
_atom_site_fract_x
_atom_site_fract_y
_atom_site_fract_z
_atom_site_occupancy
Nb1 Nb 0.000 0.000 0.500 1
B1 B 0.000 0.000 0.000 1
Sb1 Sb 0.500 0.500 0.500 1
```

Values from the calculation:
- Relative energy among the computed polymorphs: 0.0 kJ per mole of atoms
- Energy relative to the elements, uncorrected: -0.053 eV/atom
- Raw total energy: -8.254 eV/atom

=====

Nb2BSb | GGA-PBE | optimized geometry

CIF file:
```
data_Nb2BSb
_chemical_formula_sum 'Nb8 B4 Sb4'
_cell_length_a 6.411
_cell_length_b 6.411
_cell_length_c 6.411
_cell_angle_alpha 90.00
_cell_angle_beta 90.00
_cell_angle_gamma 90.00
_space_group_name_H-M_alt 'F m -3 m'
_space_group_IT_number 225
_space_group_name_Hall '-F 4 2 3'
loop_
_atom_site_label
_atom_site_type_symbol
_atom_site_fract_x
_atom_site_fract_y
_atom_site_fract_z
_atom_site_occupancy
Nb1 Nb 0.250 0.250 0.250 1
B1 B 0.000 0.000 0.000 1
Sb1 Sb 0.000 0.000 0.500 1
```

Values from the calculation:
- Relative energy among the computed polymorphs: 0.0 kJ per mole of atoms
- Energy relative to the elements, uncorrected: 0.467 eV/atom
- Raw total energy: -7.268 eV/atom

=====

Copy entry 1 word for word.
NbBS3 | GGA-PBE | optimized geometry

CIF file:
```
data_NbBS3
_chemical_formula_sum 'Nb1 B1 S3'
_cell_length_a 4.135
_cell_length_b 4.135
_cell_length_c 4.135
_cell_angle_alpha 90.00
_cell_angle_beta 90.00
_cell_angle_gamma 90.00
_space_group_name_H-M_alt 'P m -3 m'
_space_group_IT_number 221
_space_group_name_Hall '-P 4 2 3'
loop_
_atom_site_label
_atom_site_type_symbol
_atom_site_fract_x
_atom_site_fract_y
_atom_site_fract_z
_atom_site_occupancy
Nb1 Nb 0.000 0.000 0.000 1
B1 B 0.500 0.500 0.500 1
S1 S 0.000 0.500 0.500 1
```

Values from the calculation:
- Relative energy among the computed polymorphs: 94.7 kJ per mole of atoms
- Energy relative to the elements, uncorrected: 0.460 eV/atom
- Raw total energy: -5.365 eV/atom

=====

Question: What is the formula in the tenth record?
Answer: Nb5B2Sb2

=====

Question: The lowest raw total energy belongs to which entry?
Answer: Nb8BS2

=====

Question: The highest energy relative to the elements, uncorrected belongs to which entry?
Answer: SrNbB2S